Material: Nb2CrPO
Method: DFT, PBE with a Hubbard U
State: optimized geometry

abc: 4.322 4.322 3.822
angles: 90.00 90.00 90.00
Space group P4/mmm (No. 123)
Unique sites:
Nb  0.000  0.500  0.000 (multiplicity 2)
Cr  0.000  0.000  0.500 (multiplicity 1)
P  0.500  0.500  0.500 (multiplicity 1)
O  0.000  0.000  0.000 (multiplicity 1)

Output
Density (Mg/m³): 6.62
Total energy (eV/atom): -8.0633